A plane-wave DFT calculation with PBE-GGA was carried out for a geometry-optimized K2SiHgMo structure.

Properties
The density of states at the Fermi level is 0.87 states/eV per atom. Its volume is 204 Å³ per cell. The value obtained for the mass density is 3272 kg/m³. The crystal system is tetragonal. The raw total energy is -3.095 eV/atom.

abc: 6.5198 4.8087 6.5198
angles: 90.00 90.00 90.00
With the nearest neighbours (Å) after each atom.
Fractional positions:
Mo (0.0000, 0.5000, 0.0000)  2 Si 2.40
Hg (0.5000, 0.5000, 0.5000)  8 K 4.05
K (0.0000, 0.0000, 0.5000)  2 Si 3.26
K (0.5000, 0.0000, 0.0000)  2 Si 3.26
Si (0.0000, 0.0000, 0.0000)  2 Mo 2.40